Compound: Rb3U2CdSe6
Source: Alexandria
Functional: PBE
Structure: optimized geometry

Calculated values
The calculation puts the total magnetic moment at 5.0 μB per formula unit. For the formation energy from raw total energies, the calculation gives -13.36 eV/f.u. The value obtained for the density of states at the Fermi level is 1.17 states/eV per atom. As for the raw total energy: -60.665 eV per cell.

```
Rb3U2CdSe6
1.0
3.686 -6.384 0.000
3.686 6.384 0.000
-2.446 0.000 8.022
Rb U Cd Se
3 2 1 6
Cartesian
0.000 0.000 0.000
3.686 2.085 0.000
3.686 -2.085 0.000
2.463 4.249 4.011
2.463 -4.249 4.011
2.463 0.000 4.011
1.211 2.164 2.431
-0.027 0.000 5.576
1.211 -2.164 2.431
3.715 2.164 5.591
4.954 0.000 2.446
3.715 -2.164 5.591
```